No. 1
Here is a geometry-optimized Ho8Ni2Ir structure from Alexandria via LeMat-Bulk. Energies are from PBE.

Values from the calculation:
Energy relative to the lowest polymorph listed for this composition: 92.1 meV per atom

The structure in CIF format:
```
data_Ho8Ni2Ir
_chemical_formula_sum 'Ho16 Ni4 Ir2'
_space_group_name_H-M_alt 'C 1 m 1'
_space_group_IT_number 8
_cell_length_a 8.156
_cell_length_b 12.435
_cell_length_c 5.916
_cell_angle_alpha 90.00
_cell_angle_beta 108.74
_cell_angle_gamma 90.00
loop_
_space_group_symop_operation_xyz
'x,y,z'
'x,-y,z'
'x+1/2,y+1/2,z'
'x+1/2,-y+1/2,z'
loop_
_atom_site_label
_atom_site_type_symbol
_atom_site_fract_x
_atom_site_fract_y
_atom_site_fract_z
Ho1 Ho 0.000 0.000 0.000
Ho2 Ho 0.067 0.371 0.786
Ho3 Ho 0.150 0.130 0.591
Ho4 Ho 0.219 0.500 0.358
Ho5 Ho 0.360 0.214 0.180
Ni1 Ni 0.357 0.309 0.679
Ir1 Ir 0.360 0.000 0.016
```

No. 2
Here is a geometry-optimized Sc3Ge2Pt structure from Alexandria via LeMat-Bulk. Energies are from PBE.

The structure in CIF format:
```
data_Sc3Ge2Pt
_chemical_formula_sum 'Sc12 Ge8 Pt4'
_space_group_name_H-M_alt 'P n m a'
_space_group_IT_number 62
_cell_length_a 11.000
_cell_length_b 4.170
_cell_length_c 10.356
_cell_angle_alpha 90.00
_cell_angle_beta 90.00
_cell_angle_gamma 90.00
loop_
_space_group_symop_operation_xyz
'x,y,z'
'-x,-y,-z'
'-x+1/2,-y,z+1/2'
'x+1/2,y,-z+1/2'
'x+1/2,-y+1/2,-z+1/2'
'-x+1/2,y+1/2,z+1/2'
'-x,y+1/2,-z'
'x,-y+1/2,z'
loop_
_atom_site_label
_atom_site_type_symbol
_atom_site_fract_x
_atom_site_fract_y
_atom_site_fract_z
Sc1 Sc 0.050 0.250 0.125
Sc2 Sc 0.130 0.750 0.565
Sc3 Sc 0.224 0.250 0.808
Ge1 Ge 0.000 0.250 0.692
Ge2 Ge 0.182 0.750 0.015
Pt1 Pt 0.124 0.250 0.376
```

No. 3
Here is a geometry-optimized LaMnCu2 structure from Alexandria via LeMat-Bulk. Energies are from PBE.

The structure in CIF format:
```
data_LaMnCu2
_chemical_formula_sum 'La4 Mn4 Cu8'
_space_group_name_H-M_alt 'I -4 2 d'
_space_group_IT_number 122
_space_group_name_Hall 'I -4 2bw'
_cell_length_a 4.573
_cell_length_b 4.573
_cell_length_c 17.023
_cell_angle_alpha 90.00
_cell_angle_beta 90.00
_cell_angle_gamma 90.00
loop_
_atom_site_label
_atom_site_type_symbol
_atom_site_fract_x
_atom_site_fract_y
_atom_site_fract_z
La1 La 0.000 0.000 0.000
Mn1 Mn 0.000 0.000 0.500
Cu1 Cu 0.040 0.250 0.625
```

No. 4
Here is a geometry-optimized Ce2VCoN5 structure from Alexandria via LeMat-Bulk. Energies are from PBE.

Values from the calculation:
E_form (uncorrected): -874 meV/atom

The structure in CIF format:
```
data_Ce2VCoN5
_chemical_formula_sum 'Ce8 V4 Co4 N20'
_space_group_name_H-M_alt 'C m c 21'
_space_group_IT_number 36
_cell_length_a 3.236
_cell_length_b 13.680
_cell_length_c 9.596
_cell_angle_alpha 90.00
_cell_angle_beta 90.00
_cell_angle_gamma 90.00
loop_
_space_group_symop_operation_xyz
'x,y,z'
'-x,-y,z+1/2'
'-x,y,z'
'x,-y,z+1/2'
'x+1/2,y+1/2,z'
'-x+1/2,-y+1/2,z+1/2'
'-x+1/2,y+1/2,z'
'x+1/2,-y+1/2,z+1/2'
loop_
_atom_site_label
_atom_site_type_symbol
_atom_site_fract_x
_atom_site_fract_y
_atom_site_fract_z
Ce1 Ce 0.000 0.123 0.000
Ce2 Ce 0.000 0.125 0.619
V1 V 0.000 0.207 0.320
Co1 Co 0.000 0.441 0.763
N1 N 0.000 0.027 0.330
N2 N 0.000 0.303 0.957
N3 N 0.000 0.313 0.678
N4 N 0.000 0.337 0.313
N5 N 0.000 0.498 0.587
```

no.,DFT total energy (eV/cell),total magnetic moment (μB per formula unit)
1,-119.74,0.0
2,-159.26,0.0
3,-84.32,3.4
4,-310.33,0.0